DFT (GGA-PBE) results for a geometry-optimized ThInSi2Ni5 structure.

Properties
theoretical density: 7.6 g/cm3
calculated volume: 151.5 Å³/cell
uncorrected formation energy: -0.251 eV per atom
electronic total energy: -52.17 eV/cell
D(E_F): 6.3 states/eV/cell

a b c (Å): 3.7678 3.7678 10.6710
angles (deg): 90.00 90.00 90.00
Closest atoms and distances in Å follow each position.
Sites, in units of the cell vectors:
Th: 0.0000 0.0000 0.0000  4 Ni 2.66
In: 0.0000 0.0000 0.5000  8 Ni 2.68
Si: 0.5000 0.5000 0.2076  5 Ni 2.21-2.24
Si: 0.5000 0.5000 0.7924  5 Ni 2.21-2.24
Ni: 0.0000 0.5000 0.3209  2 Si 2.24
Ni: 0.0000 0.5000 0.6791  2 Si 2.24
Ni: 0.5000 0.0000 0.3209  2 Si 2.24
Ni: 0.5000 0.0000 0.6791  2 Si 2.24
Ni: 0.5000 0.5000 0.0000  2 Si 2.21